A plane-wave DFT calculation with PBE was carried out for Li2AgPt after structural relaxation.

It has space group Cmmm (No. 65), with a = 3.0911 Å, b = 4.5794 Å, c = 8.6099 Å, α = 90.00°, β = 90.00° and γ = 90.00°. The asymmetric unit holds Li at (0.0000, 0.0000, 0.2327), Ag at (0.0000, 0.5000, 0.5000) and Pt at (0.0000, 0.5000, 0.0000).

For the formation energy, the calculation gives -356.0 meV/atom. The raw total energy comes out at -28.29 eV/cell.

A plane-wave DFT calculation with PBE was carried out for LiAg2Pt after structural relaxation.

It has space group Cmm2 (No. 35), with a = 2.9460 Å, b = 4.7006 Å, c = 9.4127 Å, α = 90.00°, β = 90.00° and γ = 90.00°. The asymmetric unit holds Li at (0.0000, 0.0000, 0.0000), Ag at (0.0000, 0.0000, 0.5179), Ag at (0.0000, 0.5000, 0.2489) and Pt at (0.0000, 0.5000, 0.7812).

For the formation energy, the calculation gives -150.7 meV/atom. The raw total energy comes out at -28.52 eV/cell.

A plane-wave DFT calculation with PBE was carried out for LiAg2Pt after structural relaxation.

It has space group P2/m (No. 10), with a = 3.9651 Å, b = 4.0477 Å, c = 4.0161 Å, α = 90.00°, β = 90.14° and γ = 90.00°. The asymmetric unit holds Li at (0.0000, 0.0000, 0.0000), Ag at (0.5000, 0.0000, 0.5000), Ag at (0.5000, 0.5000, 0.0000) and Pt at (0.0000, 0.5000, 0.5000).

For the formation energy, the calculation gives -212.9 meV/atom. The raw total energy comes out at -14.51 eV/cell.

A plane-wave DFT calculation with PBE was carried out for Li2AgPt after structural relaxation.

It has space group Immm (No. 71), with a = 3.1279 Å, b = 4.5915 Å, c = 8.3805 Å, α = 90.00°, β = 90.00° and γ = 90.00°. The asymmetric unit holds Li at (0.0000, 0.0000, 0.2445), Ag at (0.0000, 0.5000, 0.0000) and Pt at (0.0000, 0.5000, 0.5000).

For the formation energy, the calculation gives -343.4 meV/atom. The raw total energy comes out at -28.19 eV/cell.

A plane-wave DFT calculation with PBE was carried out for Li6Ag2Pt after structural relaxation.

It has space group C2/m (No. 12), with a = 13.8023 Å, b = 6.1851 Å, c = 4.3198 Å, α = 90.00°, β = 107.97° and γ = 90.00°. The asymmetric unit holds Li at (0.0000, 0.2265, 0.0000), Li at (0.1571, 0.2372, 0.6549), Ag at (0.1673, 0.5000, 0.1647) and Pt at (0.0000, 0.0000, 0.5000).

For the formation energy, the calculation gives -100.9 meV/atom. The raw total energy comes out at -48.27 eV/cell. The value obtained for the energy above the most stable polymorph in this dataset is 181.7 meV/atom.

A plane-wave DFT calculation with PBE was carried out for Li2AgPt after structural relaxation.

It has space group C2/m (No. 12), with a = 9.1771 Å, b = 5.6938 Å, c = 4.5841 Å, α = 90.00°, β = 102.94° and γ = 90.00°. The asymmetric unit holds Li at (0.1250, 0.2392, 0.2441), Ag at (0.1271, 0.5000, 0.7529) and Pt at (0.1241, 0.0000, 0.7374).

For the formation energy, the calculation gives -389.5 meV/atom. The raw total energy comes out at -57.11 eV/cell.

A plane-wave DFT calculation with PBE was carried out for Li2AgPt after structural relaxation.

It has space group I-4m2 (No. 119), with a = 3.9132 Å, b = 3.9132 Å, c = 7.9201 Å, α = 90.00°, β = 90.00° and γ = 90.00°. The asymmetric unit holds Li at (0.0000, 0.0000, 0.0000), Li at (0.0000, 0.5000, 0.2500), Ag at (0.0000, 0.0000, 0.5000) and Pt at (0.0000, 0.5000, 0.7500).

For the formation energy, the calculation gives -346.4 meV/atom. The raw total energy comes out at -28.21 eV/cell.

A plane-wave DFT calculation with PBE was carried out for LiAg2Pt after structural relaxation.

It has space group P4/mmm (No. 123), with a = 4.5938 Å, b = 4.5938 Å, c = 3.0950 Å, α = 90.00°, β = 90.00° and γ = 90.00°. The asymmetric unit holds Li at (0.0000, 0.0000, 0.0000), Ag at (0.0000, 0.5000, 0.5000) and Pt at (0.5000, 0.5000, 0.0000).

For the formation energy, the calculation gives -193.5 meV/atom. The raw total energy comes out at -14.43 eV/cell.